Entry 1:
Entry from the Alexandria database: a crystal of Ce2C3N6 relaxed with PBEsol (SCAN).

Output
- E_form (uncorrected) (eV per formula unit) = -9.6
- symmetry = C2/m (12)
- DFT total energy (eV per cell) = -184.785

```
Ce2C3N6
1.0
3.927 0.000 0.000
0.000 5.322 0.045
-1.963 -0.828 7.268
Ce C N
2 3 6
Direct
0.865 0.426 0.731
0.135 0.574 0.269
0.672 0.095 0.344
0.328 0.905 0.656
0.000 0.000 0.000
0.311 0.670 0.622
0.988 0.767 0.976
0.012 0.233 0.024
0.689 0.330 0.378
0.658 0.865 0.316
0.342 0.135 0.684
```


Entry 2:
Entry from the Alexandria database: a crystal of Ce2CN2O2 relaxed with PBEsol (SCAN).

Output
- E_form (uncorrected) (eV per formula unit) = -15.8
- symmetry = P-3m1 (164)
- DFT total energy (eV per cell) = -146.102

```
Ce2CN2O2
1.0
3.866 0.000 0.000
-1.933 3.348 0.000
0.000 0.000 8.241
N Ce O C
2 2 2 1
Direct
0.000 0.000 0.150
0.000 0.000 0.850
0.333 0.667 0.322
0.667 0.333 0.678
0.667 0.333 0.396
0.333 0.667 0.604
0.000 0.000 0.000
```


Entry 3:
Entry from the Alexandria database: a crystal of NaCeC2O6 relaxed with PBEsol (SCAN).

Output
- E_form (uncorrected) (eV per formula unit) = -22.9
- symmetry = Pmc2_1 (26)
- DFT total energy (eV per cell) = -258.459

```
NaCeC2O6
1.0
5.142 0.000 0.000
0.000 6.374 0.000
0.000 0.000 7.060
Ce C O Na
2 4 12 2
Direct
0.500 0.867 0.826
0.500 0.133 0.326
0.000 0.968 0.496
0.500 0.584 0.245
0.000 0.032 0.996
0.500 0.416 0.745
0.779 0.121 0.034
0.000 0.146 0.409
0.221 0.879 0.534
0.286 0.513 0.783
0.500 0.768 0.165
0.286 0.487 0.283
0.714 0.487 0.283
0.714 0.513 0.783
0.779 0.879 0.534
0.221 0.121 0.034
0.500 0.232 0.665
0.000 0.854 0.909
0.000 0.519 0.531
0.000 0.481 0.031
```


Entry 4:
Entry from the Alexandria database: a crystal of Na2CePCO7 relaxed with PBEsol (SCAN).

Output
- E_form (uncorrected) (eV per formula unit) = -30.4
- symmetry = P2_1/m (11)
- DFT total energy (eV per cell) = -295.055

```
Na2CePCO7
1.0
5.176 0.000 0.020
0.000 7.053 0.000
-0.018 0.000 9.376
O P Na Ce C
14 2 4 2 2
Direct
0.569 0.250 0.644
0.253 0.750 0.036
0.747 0.250 0.964
0.131 0.427 0.642
0.989 0.250 0.165
0.436 0.750 0.817
0.564 0.250 0.183
0.295 0.250 0.427
0.431 0.750 0.356
0.705 0.750 0.573
0.869 0.573 0.358
0.869 0.927 0.358
0.131 0.073 0.642
0.011 0.750 0.835
0.715 0.750 0.406
0.285 0.250 0.594
0.742 0.492 0.802
0.258 0.992 0.198
0.258 0.508 0.198
0.742 0.008 0.802
0.792 0.250 0.405
0.208 0.750 0.595
0.767 0.250 0.098
0.233 0.750 0.902
```


Entry 5:
Entry from the Alexandria database: a crystal of CeNdC4 relaxed with PBEsol (SCAN).

Output
- symmetry = P4/mmm (123)
- DFT total energy (eV per cell) = -130.082

```
CeNdC4
1.0
-0.839 0.033 3.655
0.326 -3.734 0.109
6.158 0.579 1.409
Ce C Nd
1 4 1
Direct
0.000 0.000 0.000
0.500 0.500 0.103
0.000 0.000 0.397
0.500 0.500 0.897
0.000 0.000 0.603
0.500 0.500 0.500
```


Entry 6:
Entry from the Alexandria database: a crystal of CeNiC2 relaxed with PBEsol (SCAN).

Output
- symmetry = Amm2 (38)
- DFT total energy (eV per cell) = -82.078

```
CeNiC2
1.0
-3.345 1.099 -1.182
-0.906 -3.570 -0.756
-2.185 -0.082 3.002
C Ni Ce
2 1 1
Direct
0.133 0.500 0.444
0.444 0.500 0.133
0.599 0.500 0.599
0.996 0.000 0.996
```


Entry 7:
Entry from the Alexandria database: a crystal of Sr3CePC3O13 relaxed with PBEsol (SCAN).

Output
- E_form (uncorrected) (eV per formula unit) = -56.7
- symmetry = R3m (160)
- DFT total energy (eV per cell) = -289.840

```
Sr3CePC3O13
1.0
6.554 0.001 0.001
-1.136 6.454 0.001
-1.136 -1.353 6.311
C O P Ce Sr
3 13 1 1 3
Direct
0.432 0.932 0.932
0.932 0.932 0.432
0.932 0.432 0.932
0.315 0.566 0.566
0.838 0.061 0.340
0.256 0.256 0.256
0.061 0.340 0.838
0.606 0.888 0.888
0.838 0.340 0.061
0.340 0.838 0.061
0.566 0.566 0.315
0.566 0.315 0.566
0.888 0.888 0.606
0.888 0.606 0.888
0.061 0.838 0.340
0.340 0.061 0.838
0.423 0.423 0.423
0.999 0.999 0.999
0.475 0.922 0.475
0.922 0.475 0.475
0.475 0.475 0.922
```


Entry 8:
Entry from the Alexandria database: a crystal of CePRu2C relaxed with PBEsol (SCAN).

Output
- symmetry = Cmcm (63)
- DFT total energy (eV per cell) = -276.586

```
CePRu2C
1.0
3.818 0.000 0.000
-1.909 5.478 0.000
0.000 0.000 6.996
P Ce Ru C
2 2 4 2
Direct
0.773 0.546 0.250
0.227 0.454 0.750
0.951 0.902 0.750
0.049 0.098 0.250
0.333 0.665 0.446
0.667 0.335 0.946
0.333 0.665 0.054
0.667 0.335 0.554
0.500 0.000 0.500
0.500 0.000 0.000
```


Entry 9:
Entry from the Alexandria database: a crystal of CeRe2SiC relaxed with PBEsol (SCAN).

Output
- E_form (uncorrected) (eV per formula unit) = -2.4
- symmetry = Cmcm (63)
- DFT total energy (eV per cell) = -418.476

```
CeRe2SiC
1.0
3.946 0.000 0.000
-1.973 5.439 0.000
0.000 0.000 7.284
C Re Si Ce
2 4 2 2
Direct
0.000 0.000 0.000
0.000 0.000 0.500
0.174 0.348 0.438
0.826 0.652 0.562
0.826 0.652 0.938
0.174 0.348 0.062
0.736 0.473 0.250
0.264 0.527 0.750
0.543 0.086 0.750
0.457 0.914 0.250
```


Entry 10:
Entry from the Alexandria database: a crystal of CoH2CCl relaxed with PBEsol (SCAN).

Output
- symmetry = P4/mmm (123)
- DFT total energy (eV per cell) = -35.415

```
CoH2CCl
1.0
3.153 0.000 0.000
0.000 3.153 0.000
0.000 0.000 4.470
Co H C Cl
1 2 1 1
Direct
0.000 0.000 0.000
0.500 0.000 0.000
0.000 0.500 0.000
0.500 0.500 0.500
0.000 0.000 0.500
```


Entry 11:
Entry from the Alexandria database: a crystal of CoH18C4N8Cl4O4 relaxed with PBEsol (SCAN).

Output
- symmetry = P2_1/c (14)
- DFT total energy (eV per cell) = -552.386

```
CoH18C4N8Cl4O4
1.0
6.220 0.000 -0.023
0.000 11.098 0.000
-2.657 0.000 11.294
H Co N Cl O C
36 2 16 8 8 8
Direct
0.173 0.658 0.492
0.327 0.158 0.008
0.111 0.274 0.855
0.623 0.392 0.993
0.043 0.804 0.272
0.673 0.842 0.992
0.827 0.342 0.508
0.377 0.608 0.007
0.705 0.784 0.491
0.366 0.684 0.182
0.389 0.774 0.645
0.957 0.196 0.728
0.205 0.716 0.991
0.889 0.726 0.145
0.291 0.996 0.003
0.709 0.004 0.997
0.877 0.892 0.507
0.457 0.304 0.228
0.634 0.316 0.818
0.791 0.504 0.503
0.129 0.996 0.258
0.371 0.496 0.242
0.871 0.004 0.742
0.981 0.699 0.783
0.481 0.801 0.283
0.519 0.199 0.717
0.795 0.284 0.009
0.123 0.108 0.493
0.209 0.496 0.497
0.866 0.816 0.682
0.543 0.696 0.772
0.611 0.226 0.355
0.134 0.184 0.318
0.629 0.504 0.758
0.295 0.216 0.509
0.019 0.301 0.217
0.500 0.000 0.500
0.000 0.500 0.000
0.762 0.419 0.467
0.541 0.290 0.736
0.987 0.011 0.191
0.013 0.989 0.809
0.952 0.805 0.186
0.041 0.210 0.236
0.459 0.710 0.264
0.048 0.195 0.814
0.487 0.489 0.691
0.452 0.695 0.686
0.262 0.081 0.967
0.738 0.919 0.033
0.238 0.581 0.533
0.548 0.305 0.314
0.513 0.511 0.309
0.959 0.790 0.764
0.499 0.000 0.704
0.999 0.500 0.204
0.501 0.000 0.296
0.001 0.500 0.796
0.185 0.859 0.459
0.685 0.641 0.959
0.315 0.359 0.041
0.815 0.141 0.541
0.759 0.367 0.969
0.241 0.633 0.031
0.690 0.654 0.441
0.190 0.846 0.941
0.259 0.133 0.469
0.741 0.867 0.531
0.810 0.154 0.059
0.310 0.346 0.559
0.612 0.411 0.365
0.888 0.911 0.135
0.439 0.371 0.658
0.388 0.589 0.635
0.561 0.629 0.342
0.061 0.871 0.842
0.939 0.129 0.158
0.112 0.089 0.865
```


Entry 12:
Entry from the Alexandria database: a crystal of CoH5CNCl2O2 relaxed with PBEsol (SCAN).

Output
- symmetry = C2/c (15)
- DFT total energy (eV per cell) = -184.820

```
CoH5CNCl2O2
1.0
-3.827 2.343 -4.848
4.478 -3.296 -3.907
-4.480 -4.372 2.646
H O C Cl Co N
10 4 2 4 2 2
Direct
0.750 0.328 0.672
0.618 0.712 0.262
0.762 0.724 0.495
0.738 0.505 0.276
0.118 0.262 0.712
0.250 0.672 0.328
0.882 0.738 0.288
0.262 0.495 0.724
0.382 0.288 0.738
0.238 0.276 0.505
0.420 0.815 0.170
0.080 0.830 0.185
0.920 0.170 0.815
0.580 0.185 0.830
0.250 0.772 0.228
0.750 0.228 0.772
0.191 0.822 0.737
0.691 0.737 0.822
0.309 0.263 0.178
0.809 0.178 0.263
0.500 0.000 0.000
0.000 0.000 0.000
0.250 0.330 0.670
0.750 0.670 0.330
```